Entry 1:
4
Lattice="3.437 0.000 0.000 0.000 3.439 0.000 0.000 0.000 5.064" Properties=species:S:1:pos:R:3 comment="Si2RhAu, relaxed, DFT GGA-PBE" formation_energy_uncorrected_mev_per_atom=-283 magnetic_moment_mub_per_cell=0.0 mass_density_g_cm3=9.88 de_polymorph_kcal_per_mol_atoms=0.00 final_energy_ev_per_atom=-5.65 sg="P4mm, No. 99" pbc="T T T"
Si 0.000 0.000 4.860
Si 1.718 1.720 1.402
Au 0.000 0.000 2.330
Rh 1.718 1.720 4.069


Entry 2:
4
Lattice="-2.456 -1.377 -1.768 -1.239 -2.543 3.702 -3.132 3.685 1.483" Properties=species:S:1:pos:R:3 comment="MgScTa2, relaxed, DFT GGA-PBE" magnetic_moment_mub_per_cell=0.0 mass_density_g_cm3=9.14 final_energy_ev_per_atom=-7.66 sg="Pmmm, No. 47" pbc="T T T"
Ta -1.848 -1.960 0.967
Ta 0.000 0.000 0.000
Mg -2.794 1.154 -0.142
Sc -2.186 0.571 2.592


Entry 3:
6
Lattice="5.117 0.000 0.000 0.000 5.117 0.000 -2.558 -2.558 5.803" Properties=species:S:1:pos:R:3 comment="AcMg2Ge2Pt, relaxed, DFT GGA-PBE" magnetic_moment_mub_per_cell=0.0 mass_density_g_cm3=6.73 final_energy_ev_per_atom=-4.04 sg="I4/mmm, No. 139" pbc="T T T"
Ge 0.000 0.000 2.375
Ge 2.558 2.558 3.427
Mg 2.558 0.000 2.901
Mg 0.000 2.558 2.901
Ac 2.558 2.558 0.000
Pt 0.000 0.000 0.000


Entry 4:
16
Lattice="-7.040 -2.929 -6.270 1.373 -3.847 0.255 -7.260 -1.984 9.143" Properties=species:S:1:pos:R:3 comment="LaTcTe2, relaxed, DFT GGA-PBE" formation_energy_uncorrected_mev_per_atom=-733 magnetic_moment_mub_per_cell=0.0 mass_density_g_cm3=6.83 de_polymorph_kcal_per_mol_atoms=1.41 final_energy_ev_per_atom=-6.13 sg="Cm, No. 8" pbc="T T T"
Te -3.107 -1.246 -2.067
Te -6.413 -1.878 6.189
Te -9.826 -3.291 3.242
Te -2.097 -2.809 1.745
Te -9.854 -5.740 -0.715
Te -6.051 -4.161 2.632
Te -6.910 -2.825 -5.414
Te -5.510 -4.223 -1.201
La -4.943 -1.708 0.852
La -8.469 -3.193 -2.568
La -11.413 -6.108 2.131
La -7.887 -4.623 5.551
Tc -7.519 -4.826 0.512
Tc -9.384 -3.307 0.635
Tc -5.068 -4.238 -3.809
Tc -11.835 -3.894 4.955


Entry 5:
16
Lattice="-8.854 -9.111 -13.019 0.222 -2.605 1.672 -0.629 4.265 6.730" Properties=species:S:1:pos:R:3 comment="HgRhO2, relaxed, DFT GGA-PBE" formation_energy_uncorrected_mev_per_atom=-379 magnetic_moment_mub_per_cell=2.2 mass_density_g_cm3=8.89 final_energy_ev_per_atom=-4.77 sg="P2_1/c, No. 14" pbc="T T T"
Rh -2.701 1.022 3.384
Rh -2.447 -1.778 1.869
Rh -6.813 -5.673 -6.486
Rh -6.559 -8.472 -8.002
Hg -1.216 1.532 6.864
Hg -5.328 -5.161 -3.008
Hg -3.933 -2.290 -1.610
Hg -8.045 -8.982 -11.482
O -7.633 -7.564 -6.444
O -3.447 -0.977 0.370
O -7.559 -7.671 -9.501
O -1.701 0.220 4.884
O -1.627 0.113 1.826
O -5.739 -6.581 -8.045
O -5.813 -6.474 -4.987
O -3.522 -0.870 3.427


Entry 6:
4
Lattice="3.142 -0.001 -0.592 -1.627 2.752 -0.004 0.061 0.044 8.924" Properties=species:S:1:pos:R:3 comment="Pa2HgH, relaxed, DFT GGA-PBE" magnetic_moment_mub_per_cell=0.0 mass_density_g_cm3=14.26 de_polymorph_kcal_per_mol_atoms=0.06 final_energy_ev_per_atom=-5.74 sg="R3m, No. 160" pbc="T T T"
H 0.002 0.001 0.009
Pa 1.841 1.090 1.138
Pa -0.266 1.705 7.185
Hg 0.768 2.314 4.058


Entry 7:
5
Lattice="-2.473 -1.571 2.351 -0.617 -3.452 -2.956 2.782 -1.910 1.650" Properties=species:S:1:pos:R:3 comment="BeCdPtC2, relaxed, DFT GGA-PBE" magnetic_moment_mub_per_cell=0.0 mass_density_g_cm3=8.74 final_energy_ev_per_atom=-4.26 sg="P4/mmm, No. 123" pbc="T T T"
Cd -0.154 -3.467 0.523
C 1.391 -0.955 0.825
C -1.236 -0.785 1.176
Pt -0.308 -1.726 -1.478
Be 0.000 0.000 0.000


Entry 8:
18
Lattice="-7.635 -0.543 3.373 -6.440 -2.651 -4.633 -3.400 -7.500 1.467" Properties=species:S:1:pos:R:3 comment="CaAl2Au6, relaxed, DFT GGA-PBE" magnetic_moment_mub_per_cell=0.0 mass_density_g_cm3=10.24 de_polymorph_kcal_per_mol_atoms=4.02 final_energy_ev_per_atom=-3.44 sg="Fd-3m, No. 227" pbc="T T T"
Al -3.885 -5.087 0.760
Al -2.184 -1.337 0.026
Al -5.404 -2.663 -2.291
Al -6.002 -1.608 1.712
Au -11.475 -4.243 -0.596
Au -1.769 -3.722 0.716
Au -3.832 -0.333 1.644
Au -3.249 -1.360 -2.256
Au -8.172 -2.884 1.780
Au -6.969 -1.625 -0.613
Au -4.906 -5.014 -1.541
Au -9.916 -6.730 2.533
Au -6.000 -6.451 0.803
Au -7.559 -3.965 -2.326
Au -5.488 -3.987 2.359
Au -9.303 -7.811 -1.573
Ca -8.738 -5.347 0.103
Ca -13.107 -8.021 0.155


Entry 9:
5
Lattice="5.056 0.000 0.000 0.000 5.056 0.000 0.000 0.000 4.216" Properties=species:S:1:pos:R:3 comment="LaCdS2N, relaxed, DFT GGA-PBE" formation_energy_uncorrected_mev_per_atom=-164 magnetic_moment_mub_per_cell=1.6 mass_density_g_cm3=5.08 de_polymorph_kcal_per_mol_atoms=0.00 final_energy_ev_per_atom=-4.65 sg="P4/mmm, No. 123" pbc="T T T"
Cd 0.000 0.000 0.000
S 2.528 0.000 0.000
S 0.000 2.528 0.000
N 0.000 0.000 2.108
La 2.528 2.528 2.108


Entry 10:
20
Lattice="6.233 -0.178 -0.185 1.779 7.153 -1.282 1.779 -1.547 7.101" Properties=species:S:1:pos:R:3 comment="RbNbAl2O6, relaxed, DFT GGA-PBE" formation_energy_uncorrected_mev_per_atom=-2632 magnetic_moment_mub_per_cell=0.0 mass_density_g_cm3=3.52 final_energy_ev_per_atom=-7.46 sg="C2/c, No. 15" pbc="T T T"
O 4.093 2.377 1.851
O 4.513 5.606 3.931
O 5.279 -0.178 1.702
O 8.116 1.189 4.858
O 5.699 3.051 3.782
O 2.582 3.756 3.282
O 7.630 3.631 5.655
O 2.162 1.797 -0.022
O 7.210 1.673 2.351
O 1.676 4.239 0.776
O 4.793 0.529 4.172
O 4.999 4.899 1.461
Rb 3.338 6.253 -0.504
Rb 6.454 -0.824 6.137
Nb 6.454 5.200 0.331
Nb 3.338 0.228 5.302
Al 7.497 2.725 4.008
Al 4.380 3.994 2.964
Al 2.295 2.703 1.625
Al 5.411 1.434 2.669


Entry 11:
5
Lattice="-1.623 3.703 0.171 -4.920 -2.253 2.083 1.397 0.438 3.772" Properties=species:S:1:pos:R:3 comment="TiTlAsO2, relaxed, DFT GGA-PBE" formation_energy_uncorrected_mev_per_atom=268 magnetic_moment_mub_per_cell=0.0 mass_density_g_cm3=6.28 de_polymorph_kcal_per_mol_atoms=7.80 final_energy_ev_per_atom=-4.70 sg="P4/mmm, No. 123" pbc="T T T"
Ti -2.573 0.944 3.013
O -0.812 1.851 0.085
O 0.698 0.219 1.886
As -2.460 -1.126 1.041
Tl 0.000 0.000 0.000


Entry 12:
8
Lattice="4.294 0.000 0.000 2.147 3.719 0.000 2.147 1.240 9.002" Properties=species:S:1:pos:R:3 comment="ThAl4Pd2Pt, relaxed, DFT GGA-PBE" magnetic_moment_mub_per_cell=0.0 mass_density_g_cm3=8.64 final_energy_ev_per_atom=-5.64 sg="R-3m, No. 166" pbc="T T T"
Pd 6.442 3.719 6.509
Pd 2.147 1.240 2.493
Al 2.147 1.240 5.423
Al 6.442 3.719 3.579
Al 4.294 2.479 1.936
Al 4.294 2.479 7.066
Pt 4.294 2.479 4.501
Th 0.000 0.000 0.000


Entry 13:
6
Lattice="-4.508 -4.088 -3.112 -1.221 -5.952 -3.131 4.077 7.111 7.930" Properties=species:S:1:pos:R:3 comment="CoCuGe, relaxed, DFT GGA-PBE" magnetic_moment_mub_per_cell=0.0 mass_density_g_cm3=8.47 final_energy_ev_per_atom=-5.30 sg="C2/m, No. 12" pbc="T T T"
Cu -0.607 -1.066 -0.347
Cu -1.045 -1.863 2.034
Co 0.178 0.287 2.770
Co -1.830 -3.216 -1.083
Ge 1.342 2.333 3.268
Ge -2.993 -5.262 -1.581


Entry 14:
8
Lattice="-4.392 4.818 -2.539 -2.724 -4.767 -4.336 -5.236 -0.591 -1.706" Properties=species:S:1:pos:R:3 comment="HfGa2B, relaxed, DFT GGA-PBE" magnetic_moment_mub_per_cell=0.0 mass_density_g_cm3=8.96 final_energy_ev_per_atom=-5.66 sg="I-42d, No. 122" pbc="T T T"
B -3.558 0.026 -3.438
B -5.758 -2.666 -4.740
Ga -6.803 -0.788 -4.189
Ga -4.059 1.900 -2.361
Ga -9.944 -0.034 -6.964
Ga -3.896 -2.157 -3.648
Hf 0.000 0.000 0.000
Hf -6.592 2.127 -3.841


Entry 15:
5
Lattice="-3.414 -2.573 2.873 3.842 -2.598 2.240 0.330 3.628 3.641" Properties=species:S:1:pos:R:3 comment="HfTaBr3, relaxed, DFT GGA-PBE" formation_energy_uncorrected_mev_per_atom=776 magnetic_moment_mub_per_cell=1.8 mass_density_g_cm3=7.28 de_polymorph_kcal_per_mol_atoms=2.08 final_energy_ev_per_atom=-4.59 sg="Pm-3m, No. 221" pbc="T T T"
Ta 0.000 0.000 0.000
Br 1.921 -1.299 1.120
Br 0.165 1.814 1.820
Br -1.707 -1.286 1.437
Hf 0.379 -0.771 4.377


Entry 16:
8
Lattice="4.107 0.000 0.000 0.000 8.753 -1.034 -2.054 -3.507 7.848" Properties=species:S:1:pos:R:3 comment="PrSm4Bi3, relaxed, DFT GGA-PBE" magnetic_moment_mub_per_cell=0.0 mass_density_g_cm3=8.51 final_energy_ev_per_atom=-4.88 sg="Immm, No. 71" pbc="T T T"
Sm 0.000 2.418 5.176
Sm 2.054 2.828 1.637
Sm 2.054 6.382 1.213
Sm 0.000 -1.136 5.601
Bi 2.054 4.933 4.159
Bi 0.000 0.312 2.655
Bi 0.000 4.377 -0.517
Pr 2.054 0.000 0.000


Entry 17:
18
Lattice="4.066 0.000 0.000 0.000 7.681 0.000 0.000 0.000 13.667" Properties=species:S:1:pos:R:3 comment="NdMgPd, relaxed, DFT GGA-PBE" magnetic_moment_mub_per_cell=0.0 mass_density_g_cm3=6.42 final_energy_ev_per_atom=-4.47 sg="Pmma, No. 51" pbc="T T T"
Mg 2.033 6.045 3.417
Mg 2.033 3.306 1.758
Mg 2.033 4.374 8.591
Mg 2.033 4.374 11.909
Mg 2.033 1.636 10.250
Mg 2.033 3.306 5.076
Nd 0.000 5.877 6.255
Nd 0.000 1.804 13.089
Nd 0.000 1.804 7.412
Nd 0.000 6.612 10.250
Nd 0.000 5.877 0.578
Nd 0.000 1.068 3.417
Pd 2.033 0.421 5.489
Pd 0.000 3.459 10.250
Pd 2.033 7.260 12.322
Pd 2.033 7.260 8.178
Pd 0.000 4.221 3.417
Pd 2.033 0.421 1.345


Entry 18:
10
Lattice="-0.658 -3.237 3.875 3.880 2.149 2.453 -2.842 5.970 4.504" Properties=species:S:1:pos:R:3 comment="ThIr3Rh, relaxed, DFT GGA-PBE" magnetic_moment_mub_per_cell=0.0 mass_density_g_cm3=15.46 final_energy_ev_per_atom=-8.47 sg="Cmcm, No. 63" pbc="T T T"
Th 1.898 3.201 4.668
Th -1.517 1.681 6.164
Ir 0.000 0.000 0.000
Ir -0.786 4.483 5.284
Ir 1.071 5.511 6.458
Ir 1.166 0.399 5.549
Ir -0.691 -0.630 4.374
Ir -0.329 -1.618 1.938
Rh 1.376 0.674 2.469
Rh -0.996 4.207 8.363


Entry 19:
12
Lattice="-3.621 4.649 2.341 -2.438 -4.133 -4.146 0.370 -3.731 5.119" Properties=species:S:1:pos:R:3 comment="CePr3Th2N6, relaxed, DFT GGA-PBE" formation_energy_uncorrected_mev_per_atom=-1475 magnetic_moment_mub_per_cell=0.0 mass_density_g_cm3=8.85 final_energy_ev_per_atom=-8.56 sg="C2/m, No. 12" pbc="T T T"
Pr -3.241 1.334 3.830
Pr -2.845 -1.607 1.657
Pr -2.448 -4.548 -0.515
N -1.583 0.723 1.819
N -4.427 -0.476 -0.163
N -1.262 -2.738 3.477
N -4.499 -1.021 3.649
N -1.190 -2.193 -0.335
N -4.106 -3.938 1.495
Th -2.832 -1.207 -1.984
Th -3.227 1.723 0.180
Ce 0.000 0.000 0.000


Entry 20:
6
Lattice="-0.456 1.992 2.777 -2.395 -2.323 -0.867 2.662 -3.971 3.285" Properties=species:S:1:pos:R:3 comment="LiAlC, relaxed, DFT GGA-PBE" magnetic_moment_mub_per_cell=0.0 mass_density_g_cm3=2.55 final_energy_ev_per_atom=-4.95 sg="P6_3mc, No. 186" pbc="T T T"
Li 0.784 -1.170 0.968
Li 2.115 -3.156 2.611
Al -1.645 -1.040 0.476
Al 0.333 -1.587 3.334
C 1.336 -3.084 4.572
C -0.641 -2.537 1.715